# CoAsAu (PBE, relaxed)
data_CoAsAu
_chemical_formula_sum 'Co4 As4 Au4'
_symmetry_space_group_name_H-M 'F -4 3 m'
_symmetry_Int_Tables_number 216
_symmetry_space_group_name_Hall 'F -4 2 3'
_cell_length_a 5.8817
_cell_length_b 5.8817
_cell_length_c 5.8817
_cell_angle_alpha 90.00
_cell_angle_beta 90.00
_cell_angle_gamma 90.00
loop_
_atom_site_label
_atom_site_type_symbol
_atom_site_fract_x
_atom_site_fract_y
_atom_site_fract_z
Co1 Co 0.0000 0.0000 0.0000
As1 As 0.2500 0.2500 0.2500
Au1 Au 0.2500 0.2500 0.7500
# total DFT energy (no corrections): -4.85 eV/atom
# D(E_F): 11.18 states/eV per cell
# calculated volume: 16.96 A^3/atom
# ΔH_f (0 K): 0.16 eV per atom